[1]
Material: TaCrAs3
Method: DFT, PBE
State: optimized geometry Values from VASP.

Quantum ESPRESSO input file:
```
&SYSTEM
  ibrav = 0, nat = 5, ntyp = 3
/
ATOMIC_SPECIES
Ta 180.95 Ta.upf
Cr 52.00 Cr.upf
As 74.92 As.upf
CELL_PARAMETERS angstrom
4.640 0.000 0.000
0.000 4.640 0.000
0.000 0.000 4.640
ATOMIC_POSITIONS angstrom
Ta 0.000 0.000 0.000
Cr 2.320 2.320 2.320
As 0.000 2.320 2.320
As 2.320 0.000 2.320
As 2.320 2.320 0.000
```

Computed properties:
E   -6.24 eV per atom
Formation energy   0.845 eV/atom

---

[2]
Material: Ta4CrAs
Method: DFT, PBE
State: optimized geometry Values from VASP.

Quantum ESPRESSO input file:
```
&SYSTEM
  ibrav = 0, nat = 6, ntyp = 3
/
ATOMIC_SPECIES
Ta 180.95 Ta.upf
Cr 52.00 Cr.upf
As 74.92 As.upf
CELL_PARAMETERS angstrom
0.000 3.847 3.847
3.847 0.000 3.847
3.847 3.847 0.000
ATOMIC_POSITIONS angstrom
Ta 2.890 2.890 2.890
Ta 4.805 4.805 2.890
Ta 4.805 2.890 4.805
Ta 2.890 4.805 4.805
Cr 5.771 5.771 5.771
As 0.000 0.000 0.000
```

Computed properties:
E   -9.62 eV per atom
Formation energy   0.665 eV/atom

---

[3]
Material: TaCr4As
Method: DFT, PBE
State: optimized geometry Values from VASP.

Quantum ESPRESSO input file:
```
&SYSTEM
  ibrav = 0, nat = 6, ntyp = 3
/
ATOMIC_SPECIES
Ta 180.95 Ta.upf
Cr 52.00 Cr.upf
As 74.92 As.upf
CELL_PARAMETERS angstrom
0.000 3.420 3.420
3.420 0.000 3.420
3.420 3.420 0.000
ATOMIC_POSITIONS angstrom
Ta 0.000 0.000 0.000
Cr 2.571 2.571 2.571
Cr 4.269 4.269 2.571
Cr 4.269 2.571 4.269
Cr 2.571 4.269 4.269
As 5.130 5.130 5.130
```

Computed properties:
E   -9.04 eV per atom
Formation energy   0.121 eV/atom

---

[4]
Material: TaCrAs
Method: DFT, PBE
State: optimized geometry Values from VASP.

Quantum ESPRESSO input file:
```
&SYSTEM
  ibrav = 0, nat = 3, ntyp = 3
/
ATOMIC_SPECIES
Ta 180.95 Ta.upf
Cr 52.00 Cr.upf
As 74.92 As.upf
CELL_PARAMETERS angstrom
3.103 0.000 0.000
-1.552 2.687 0.000
0.000 0.000 5.801
ATOMIC_POSITIONS angstrom
Ta 0.000 0.000 0.000
Cr 0.000 1.792 3.819
As 1.552 0.896 2.054
```

Computed properties:
E   -8.50 eV per atom
Formation energy   0.209 eV/atom

---

- Which of these has the highest E?
  TaCrAs3

---

- Among the records above, which one has the lowest E?
  Ta4CrAs

---

Please write out number 3 again, unchanged.
Material: TaCr4As
Method: DFT, PBE
State: optimized geometry Values from VASP.

Quantum ESPRESSO input file:
```
&SYSTEM
  ibrav = 0, nat = 6, ntyp = 3
/
ATOMIC_SPECIES
Ta 180.95 Ta.upf
Cr 52.00 Cr.upf
As 74.92 As.upf
CELL_PARAMETERS angstrom
0.000 3.420 3.420
3.420 0.000 3.420
3.420 3.420 0.000
ATOMIC_POSITIONS angstrom
Ta 0.000 0.000 0.000
Cr 2.571 2.571 2.571
Cr 4.269 4.269 2.571
Cr 4.269 2.571 4.269
Cr 2.571 4.269 4.269
As 5.130 5.130 5.130
```

Computed properties:
E   -9.04 eV per atom
Formation energy   0.121 eV/atom

---

- Among the records above, which one has the highest E?
  TaCrAs3